1.
First-principles (PBE) data for a relaxed structure of SmThIn4, as listed in Alexandria via LeMat-Bulk.

Output
Formation enthalpy at 0 K in eV/atom: -0.312
VASP energy in eV for the cell shown: -24.97
DOS(E_F) in states/eV per atom: 0.564

a b c (Å): 6.071 6.071 6.071
angles (deg): 60.00 60.00 60.00
Atoms (fractional coordinates):
Sm 0.250 0.250 0.250
Th 0.000 0.000 0.000
In 0.625 0.625 0.125
In 0.625 0.125 0.625
In 0.625 0.625 0.625
In 0.125 0.625 0.625


2.
First-principles (PBE) data for a relaxed structure of RbNdRu2O8, as listed in Alexandria via LeMat-Bulk.

Output
Formation energy (no corrections) in eV per atom: -1.462
VASP energy in eV for the cell shown: -81.49
DOS(E_F) in states/eV per atom: 0.159

a b c (Å): 6.066 6.066 8.157
angles (deg): 90.00 90.00 120.00
Atoms (fractional coordinates):
Rb 0.000 0.000 0.000
Nd 0.000 0.000 0.500
Ru 0.667 0.333 0.240
Ru 0.333 0.667 0.760
O 0.333 0.667 0.975
O 0.344 0.180 0.317
O 0.820 0.165 0.317
O 0.667 0.333 0.025
O 0.180 0.835 0.683
O 0.656 0.820 0.683
O 0.165 0.344 0.683
O 0.835 0.656 0.317


VASP energy of number 2 (RbNdRu2O8)?
-81.49 eV for the cell shown